Here is a relaxed structure of VSiPt2F from Alexandria. Energies are from PBE with a Hubbard U.

Summary:
Symmetry = P4/mmm (123)
Energy = -4.3594 eV/atom
Spin magnetization = 1.80 μB/cell

The structure in extended XYZ format:
```
5
Lattice="4.6262 0.0000 0.0000 0.0000 4.6262 0.0000 0.0000 0.0000 4.8508" Properties=species:S:1:pos:R:3 pbc="T T T"
V 0.0000 0.0000 0.0000
Si 0.0000 0.0000 2.4254
Pt 0.0000 2.3131 0.0000
Pt 2.3131 0.0000 0.0000
F 2.3131 2.3131 2.4254
```